A relaxed structure of NaMg2TaB. Source: Alexandria via LeMat-Bulk, functional PBEsol.

a b c (Å): 4.530 4.530 5.038
angles (deg): 90.00 90.00 90.00
Atoms (fractional coordinates):
1 Mg 0.000 0.500 0.000
2 Mg 0.500 0.000 0.000
3 Na 0.000 0.000 0.000
4 B 0.500 0.500 0.500
5 Ta 0.000 0.000 0.500

Results
Space-group type: No. 123
Mass density in Mg/m³: 4.2
Calculated formation energy in eV per atom: 2.3360
Total DFT energy (no corrections) in eV per atom: -2.544
Total magnetic moment in μB/f.u.: 0.04


A relaxed structure of CaFeRu2. Source: Alexandria via LeMat-Bulk, functional PBEsol.

a b c (Å): 2.966 2.965 7.104
angles (deg): 90.00 90.00 90.00
Site moments in Bohr magnetons follow the coordinates.
Atoms (fractional coordinates):
1 Ca 0.500 0.500 0.500  0.01
2 Ru 0.000 0.000 0.190  0.13
3 Ru 0.000 0.000 0.810  0.13
4 Fe 0.500 0.500 0.000  2.28

Results
Space-group type: No. 123
Mass density in Mg/m³: 7.9
Calculated formation energy in eV per atom: 0.3914
Total DFT energy (no corrections) in eV per atom: -7.469
Total magnetic moment in μB/f.u.: 2.60


A relaxed structure of Li2TaCo. Source: Alexandria via LeMat-Bulk, functional PBEsol.

a b c (Å): 3.058 3.050 6.645
angles (deg): 90.00 90.00 90.00
Atoms (fractional coordinates):
1 Co 0.000 0.500 0.722
2 Li 0.500 0.000 0.977
3 Li 0.000 0.500 0.244
4 Ta 0.500 0.000 0.558

Results
Space-group type: No. 99
Mass density in Mg/m³: 6.8
Calculated formation energy in eV per atom: 0.1854
Total DFT energy (no corrections) in eV per atom: -5.870
Total magnetic moment in μB/f.u.: 0.00


A relaxed structure of K2Cd3Se4. Source: Alexandria via LeMat-Bulk, functional PBEsol.

a b c (Å): 6.849 10.595 14.127
angles (deg): 90.00 90.00 90.00
Atoms (fractional coordinates):
1 Cd 0.663 0.406 0.746
2 Cd 0.337 0.594 0.254
3 Cd 0.663 0.094 0.746
4 Cd 0.337 0.906 0.254
5 Cd 0.163 0.906 0.754
6 Cd 0.272 0.250 0.298
7 Cd 0.163 0.594 0.754
8 Cd 0.228 0.250 0.798
9 Cd 0.837 0.406 0.246
10 Cd 0.837 0.094 0.246
11 Cd 0.728 0.750 0.702
12 Cd 0.772 0.750 0.202
13 Se 0.131 0.750 0.143
14 Se 0.430 0.250 0.638
15 Se 0.612 0.532 0.131
16 Se 0.070 0.250 0.138
17 Se 0.570 0.750 0.362
18 Se 0.112 0.032 0.369
19 Se 0.388 0.032 0.869
20 Se 0.112 0.468 0.369
21 Se 0.612 0.968 0.131
22 Se 0.869 0.250 0.857
23 Se 0.888 0.968 0.631
24 Se 0.631 0.250 0.357
25 Se 0.888 0.532 0.631
26 Se 0.930 0.750 0.862
27 Se 0.369 0.750 0.643
28 Se 0.388 0.468 0.869
29 K 0.500 0.500 0.500
30 K 0.000 0.500 0.000
31 K 0.500 0.000 0.500
32 K 0.480 0.750 0.965
33 K 0.020 0.750 0.465
34 K 0.980 0.250 0.535
35 K 0.520 0.250 0.035
36 K 0.000 0.000 0.000

Results
Space-group type: No. 62
Mass density in Mg/m³: 4.7
Total DFT energy (no corrections) in eV per atom: -3.172
Total magnetic moment in μB/f.u.: 0.00


A relaxed structure of SrTa3. Source: Alexandria via LeMat-Bulk, functional PBEsol.

a b c (Å): 2.842 5.662 6.146
angles (deg): 117.43 103.37 90.00
Atoms (fractional coordinates):
1 Ta 0.223 0.865 0.446
2 Ta 0.500 0.520 0.000
3 Ta 0.777 0.419 0.554
4 Sr 0.000 0.028 0.000

Results
Space-group type: No. 44
Mass density in Mg/m³: 12.4
Calculated formation energy in eV per atom: 0.9195
Total DFT energy (no corrections) in eV per atom: -8.954
Total magnetic moment in μB/f.u.: 0.00


A relaxed structure of SiHgAs2Se. Source: Alexandria via LeMat-Bulk, functional PBEsol.

a b c (Å): 5.042 5.042 5.171
angles (deg): 90.00 90.00 90.00
Atoms (fractional coordinates):
1 Se 0.000 0.000 0.500
2 Si 0.500 0.500 0.500
3 As 0.500 0.000 0.000
4 As 0.000 0.500 0.000
5 Hg 0.000 0.000 0.000

Results
Space-group type: No. 123
Mass density in Mg/m³: 5.8
Total DFT energy (no corrections) in eV per atom: -2.870
Total magnetic moment in μB/f.u.: 0.00


A relaxed structure of Zn3B2O6. Source: Alexandria via LeMat-Bulk, functional PBEsol.

a b c (Å): 5.044 8.422 12.146
angles (deg): 102.97 101.99 90.00
Atoms (fractional coordinates):
1 Zn 0.901 0.211 0.418
2 Zn 0.190 0.121 0.746
3 Zn 0.517 0.711 0.418
4 Zn 0.483 0.289 0.582
5 Zn 0.810 0.879 0.254
6 Zn 0.556 0.621 0.746
7 Zn 0.099 0.789 0.582
8 Zn 0.126 0.822 0.900
9 Zn 0.444 0.379 0.254
10 Zn 0.773 0.322 0.900
11 Zn 0.874 0.178 0.100
12 Zn 0.227 0.678 0.100
13 B 0.373 0.019 0.374
14 B 0.627 0.981 0.626
15 B 0.612 0.962 0.869
16 B 0.999 0.481 0.626
17 B 0.001 0.519 0.374
18 B 0.388 0.038 0.131
19 B 0.743 0.538 0.131
20 B 0.257 0.462 0.869
21 O 0.729 0.480 0.632
22 O 0.532 0.159 0.431
23 O 0.468 0.841 0.569
24 O 0.332 0.960 0.838
25 O 0.513 0.122 0.675
26 O 0.840 0.399 0.073
27 O 0.271 0.520 0.368
28 O 0.494 0.540 0.162
29 O 0.233 0.899 0.073
30 O 0.903 0.980 0.632
31 O 0.668 0.040 0.162
32 O 0.101 0.341 0.569
33 O 0.162 0.622 0.675
34 O 0.767 0.101 0.927
35 O 0.099 0.319 0.838
36 O 0.740 0.819 0.838
37 O 0.899 0.659 0.431
38 O 0.260 0.181 0.162
39 O 0.487 0.878 0.325
40 O 0.838 0.378 0.325
41 O 0.506 0.460 0.838
42 O 0.901 0.681 0.162
43 O 0.160 0.601 0.927
44 O 0.097 0.020 0.368

Results
Space-group type: No. 15
Mass density in Mg/m³: 4.2
Total DFT energy (no corrections) in eV per atom: -6.456
Total magnetic moment in μB/f.u.: 0.00


A relaxed structure of KCuOs3. Source: Alexandria via LeMat-Bulk, functional PBEsol.

a b c (Å): 4.551 4.551 4.551
angles (deg): 90.00 90.00 90.00
Site moments in Bohr magnetons follow the coordinates.
Atoms (fractional coordinates):
1 Os 0.000 0.000 0.500  0.57
2 Os 0.000 0.500 0.000  0.57
3 Os 0.500 0.000 0.000  0.57
4 K 0.500 0.500 0.500  0.00
5 Cu 0.000 0.000 0.000  0.05

Results
Space-group type: No. 221
Mass density in Mg/m³: 11.9
Calculated formation energy in eV per atom: 2.4297
Total DFT energy (no corrections) in eV per atom: -5.993
Total magnetic moment in μB/f.u.: 1.91